BaCo2Cu | PBEsol | optimized geometry

Geometry as extended XYZ:
```
4
Lattice="3.189 0.000 0.000 0.000 3.189 0.000 0.000 0.000 6.927" Properties=species:S:1:pos:R:3 pbc="T T T"
Co 0.000 0.000 1.071
Co 0.000 0.000 5.857
Ba 1.595 1.595 3.464
Cu 1.595 1.595 0.000
```

Values from the calculation:
uncorrected energy	-19.31	eV/cell
formation enthalpy at 0 K	0.66	eV/atom
ρ	7512	kg/m³
symmetry	No. 123